The following is a DFT calculation (PBE) of a geometry-optimized TaBi2W2 structure.

```
10
Lattice="-4.853 -4.874 -0.848 3.210 -4.006 4.655 -2.496 1.901 3.357" Properties=species:S:1:pos:R:3 pbc="T T T"
Bi 0.060 -2.658 4.694
Bi -2.217 -1.330 2.249
Bi -4.199 -4.321 2.469
Bi -1.922 -5.650 4.914
W 0.997 -5.289 3.736
W -2.640 -3.591 0.071
W 0.557 -2.116 1.612
W -2.200 -6.764 2.195
Ta 0.000 0.000 0.000
Ta -0.822 -4.440 1.903
```

Space group: P4/mbm
E above lowest polymorph (meV per atom): 0
M_tot (μB/f.u.): 0.00
Mass density (g cm⁻³): 14.548
V (A^3/atom): 22.1